(1)
The following is a DFT calculation (PBE) of a relaxed Hg3P crystal.

a b c (Å): 4.1716 4.1716 19.6225
angles (deg): 90.00 90.00 120.00
Space group R-3m (No. 166, hexagonal axes)
Asymmetric unit:
Hg1 0.0000 0.0000 0.0000 [3 per cell]
Hg2 0.0000 0.0000 0.2332 [6 per cell]
P1 0.0000 0.0000 0.5000 [3 per cell]

## Properties
Its energy of formation from the pure elements is 22.9 kJ per mole of atoms. For the energy relative to the lowest polymorph listed for this composition, the calculation gives 159 meV per atom. The value obtained for the spin magnetization is 0.00 μB per cell. The calculation puts the total energy at -1.341 eV/atom.


(2)
The following is a DFT calculation (PBE) of a relaxed Zn9Cu4Pd11 crystal.

a b c (Å): 13.954 17.109 2.887
angles (deg): 90.00 90.00 90.00
Space group Cmmm (No. 65)
Asymmetric unit:
Zn1 0.000 0.000 0.000 [2 per cell]
Zn2 0.112 0.409 0.000 [8 per cell]
Zn3 0.122 0.229 0.000 [8 per cell]
Cu1 0.151 0.078 0.000 [8 per cell]
Pd1 0.000 0.136 0.500 [4 per cell]
Pd2 0.000 0.315 0.500 [4 per cell]
Pd3 0.000 0.500 0.500 [2 per cell]
Pd4 0.222 0.500 0.500 [4 per cell]
Pd5 0.232 0.330 0.500 [8 per cell]

## Properties
Its energy of formation from the pure elements is -40.4 kJ per mole of atoms. The value obtained for the spin magnetization is 0.00 μB per cell. The calculation puts the total energy at -3.960 eV/atom.


(3)
The following is a DFT calculation (PBE) of a relaxed NdDyGaSn crystal.

a b c (Å): 7.496 7.496 7.496
angles (deg): 90.00 90.00 90.00
Space group F-43m (No. 216)
Asymmetric unit:
Nd1 0.000 0.000 0.000 [4 per cell]
Dy1 0.000 0.000 0.500 [4 per cell]
Ga1 0.250 0.250 0.250 [4 per cell]
Sn1 0.250 0.250 0.750 [4 per cell]

## Properties
Its energy of formation from the pure elements is -52.9 kJ per mole of atoms. For the energy relative to the lowest polymorph listed for this composition, the calculation gives 152 meV per atom. The value obtained for the spin magnetization is 0.00 μB per cell. The calculation puts the total energy at -4.648 eV/atom.


(4)
The following is a DFT calculation (PBE) of a relaxed BeInSb2 crystal.

a b c (Å): 6.097 6.097 12.242
angles (deg): 90.00 90.00 90.00
Space group I-42d (No. 122)
Asymmetric unit:
Be1 0.000 0.000 0.000 [4 per cell]
In1 0.000 0.000 0.500 [4 per cell]
Sb1 0.191 0.250 0.125 [8 per cell]

## Properties
For the energy relative to the lowest polymorph listed for this composition, the calculation gives 0 meV per atom. The value obtained for the spin magnetization is 0.00 μB per cell. The calculation puts the total energy at -3.584 eV/atom. For the raw formation energy, the calculation gives 0.093 eV/atom.


(5)
The following is a DFT calculation (PBE) of a relaxed ScSeO crystal.

a b c (Å): 3.599 13.363 4.505
angles (deg): 90.00 90.00 90.00
Space group Cmcm (No. 63)
Asymmetric unit:
Sc1 0.000 0.195 0.250 [4 per cell]
Se1 0.000 0.463 0.750 [4 per cell]
O1 0.000 0.223 0.750 [4 per cell]

## Properties
The value obtained for the spin magnetization is 0.00 μB per cell. The calculation puts the total energy at -7.111 eV/atom. For the raw formation energy, the calculation gives -2.187 eV/atom.


(6)
The following is a DFT calculation (PBE) of a relaxed K3Tm3PaS8 crystal.

a b c (Å): 7.9915 7.9915 22.4207
angles (deg): 90.00 90.00 120.00
Space group R-3m (No. 166, hexagonal axes)
Asymmetric unit:
K1 0.0000 0.5000 0.0000 [9 per cell]
Tm1 0.0000 0.5000 0.5000 [9 per cell]
Pa1 0.0000 0.0000 0.5000 [3 per cell]
S1 0.0000 0.0000 0.2323 [6 per cell]
S2 0.0009 0.5004 0.7681 [18 per cell]

## Properties
The value obtained for the spin magnetization is 3.13 μB per cell. The calculation puts the total energy at -5.781 eV/atom. For the raw formation energy, the calculation gives -1.832 eV/atom.


(7)
The following is a DFT calculation (PBE) of a relaxed DyNbSi2Tc crystal.

a b c (Å): 4.018 4.018 11.112
angles (deg): 90.00 90.00 90.00
Space group I-4m2 (No. 119)
Asymmetric unit:
Dy1 0.000 0.000 0.000 [2 per cell]
Nb1 0.000 0.500 0.750 [2 per cell]
Si1 0.000 0.000 0.392 [4 per cell]
Tc1 0.000 0.500 0.250 [2 per cell]

## Properties
The value obtained for the spin magnetization is 0.00 μB per cell. The calculation puts the total energy at -7.826 eV/atom. For the raw formation energy, the calculation gives -0.649 eV/atom.


(8)
The following is a DFT calculation (PBE) of a relaxed Ac2Zn5Ir5 crystal.

a b c (Å): 4.097 5.692 9.419
angles (deg): 90.00 90.00 90.00
Space group Pmmm (No. 47)
Asymmetric unit:
Ac1 0.000 0.000 0.000 [1 per cell]
Ac2 0.000 0.500 0.500 [1 per cell]
Zn1 0.000 0.000 0.331 [2 per cell]
Zn2 0.000 0.500 0.168 [2 per cell]
Zn3 0.500 0.000 0.500 [1 per cell]
Ir1 0.500 0.245 0.250 [4 per cell]
Ir2 0.500 0.500 0.000 [1 per cell]

## Properties
Its energy of formation from the pure elements is -42.5 kJ per mole of atoms. The value obtained for the spin magnetization is 0.00 μB per cell. The calculation puts the total energy at -5.348 eV/atom.


(9)
The following is a DFT calculation (PBE) of a relaxed Al2GaF8 crystal.

a b c (Å): 11.203 5.712 5.530
angles (deg): 90.00 102.76 90.00
Space group C2/m (No. 12)
Asymmetric unit:
Al1 0.182 0.000 0.177 [4 per cell]
Ga1 0.000 0.000 0.500 [2 per cell]
F1 0.107 0.000 0.870 [4 per cell]
F2 0.125 0.222 0.332 [8 per cell]
F3 0.169 0.500 0.821 [4 per cell]

## Properties
The value obtained for the spin magnetization is 1.87 μB per cell. The calculation puts the total energy at -5.204 eV/atom. For the raw formation energy, the calculation gives -2.888 eV/atom.


(10)
The following is a DFT calculation (PBE) of a relaxed TaCd crystal.

a b c (Å): 7.569 7.569 7.569
angles (deg): 90.00 90.00 90.00
Space group Pm-3n (No. 223)
Asymmetric unit:
Ta1 0.000 0.250 0.500 [6 per cell]
Cd1 0.000 0.500 0.250 [6 per cell]

## Properties
Its energy of formation from the pure elements is 239.0 kJ per mole of atoms. The value obtained for the spin magnetization is 0.00 μB per cell. The calculation puts the total energy at -3.907 eV/atom.


(11)
The following is a DFT calculation (PBE) of a relaxed La6Er crystal.

a b c (Å): 8.182 8.182 8.182
angles (deg): 90.00 90.00 90.00
Space group Im-3m (No. 229)
Asymmetric unit:
La1 0.000 0.250 0.500 [12 per cell]
Er1 0.000 0.000 0.000 [2 per cell]

## Properties
Its energy of formation from the pure elements is 90.9 kJ per mole of atoms. The value obtained for the spin magnetization is 0.01 μB per cell. The calculation puts the total energy at -3.933 eV/atom.


(12)
The following is a DFT calculation (PBE) of a relaxed PPtSe2Br crystal.

a b c (Å): 4.903 4.903 4.706
angles (deg): 90.00 90.00 90.00
Space group P4/mmm (No. 123)
Asymmetric unit:
P1 0.000 0.000 0.000 [1 per cell]
Pt1 0.500 0.500 0.500 [1 per cell]
Se1 0.000 0.500 0.000 [2 per cell]
Br1 0.000 0.000 0.500 [1 per cell]

## Properties
For the energy relative to the lowest polymorph listed for this composition, the calculation gives 135 meV per atom. The value obtained for the spin magnetization is 0.00 μB per cell. The calculation puts the total energy at -3.111 eV/atom. For the raw formation energy, the calculation gives 0.908 eV/atom.